# 1
Density functional theory data (GGA+U) for ScTa2VO after structural relaxation.

- Total DFT energy (no corrections): -8.7430 eV per atom

The structure in POSCAR format:
```
ScTa2VO
1.0
-2.0707 -3.8294 0.5764
0.3209 -0.7638 -3.9217
3.8565 -1.9799 0.7012
Sc V Ta O
1 1 2 1
direct
0.5000 0.5000 0.5000
0.0000 0.5000 0.0000
0.0000 0.0000 0.5000
0.5000 0.0000 0.0000
0.0000 0.0000 0.0000
```

***

# 2
Density functional theory data (GGA+U) for ScTaV2O6 after structural relaxation.

- Total DFT energy (no corrections): -8.8654 eV per atom

The structure in POSCAR format:
```
ScTaV2O6
1.0
5.3129 0.0001 0.0029
2.6556 4.6008 0.0021
2.6530 1.5323 4.8305
O Sc V Ta
6 1 2 1
direct
0.0908 0.4481 0.7433
0.2002 0.9312 0.2587
0.9312 0.6100 0.2586
0.4482 0.7177 0.7434
0.6099 0.2003 0.2587
0.7176 0.0908 0.7434
0.3122 0.3122 0.0635
0.5170 0.5171 0.4488
0.0174 0.0174 0.9479
0.8171 0.8170 0.5488
```